Material: Ho2ThSc
Method: DFT, PBE
State: relaxed

Structure (POSCAR):
```
Ho2ThSc
1.0
11.560 0.000 0.000
0.000 3.508 0.000
-2.185 0.000 11.733
Ho Th Sc
8 4 4
Cartesian
0.469 0.000 5.102 Ho
0.003 1.754 8.116 Ho
3.592 0.000 3.616 Ho
3.126 1.754 6.630 Ho
6.249 1.754 5.102 Ho
5.783 0.000 8.116 Ho
9.372 1.754 3.616 Ho
8.906 0.000 6.630 Ho
-0.638 0.000 11.056 Th
4.233 1.754 0.676 Th
5.142 1.754 11.056 Th
10.013 0.000 0.676 Th
1.024 1.754 2.152 Sc
2.571 0.000 9.581 Sc
6.804 0.000 2.152 Sc
8.351 1.754 9.581 Sc
```

## Properties
- Formation enthalpy at 0 K: 3.1 kJ per mole of atoms
- D(E_F): 23.13 states/eV per cell
- SG: C2/m (12)
- ΔE to the lowest computed polymorph: 4 meV/atom

---

Material: Pm2ZnIr
Method: DFT, PBE
State: relaxed

Structure (POSCAR):
```
Pm2ZnIr
1.0
7.162 0.000 0.000
0.000 7.162 0.000
0.000 0.000 7.162
Pm Zn Ir
8 4 4
Cartesian
1.790 1.790 1.790 Pm
1.790 1.790 5.371 Pm
1.790 5.371 1.790 Pm
1.790 5.371 5.371 Pm
5.371 1.790 1.790 Pm
5.371 1.790 5.371 Pm
5.371 5.371 1.790 Pm
5.371 5.371 5.371 Pm
0.000 0.000 0.000 Zn
0.000 3.581 3.581 Zn
3.581 0.000 3.581 Zn
3.581 3.581 0.000 Zn
0.000 0.000 3.581 Ir
0.000 3.581 0.000 Ir
3.581 0.000 0.000 Ir
3.581 3.581 3.581 Ir
```

## Properties
- Formation enthalpy at 0 K: -48.9 kJ per mole of atoms
- D(E_F): 6.65 states/eV per cell
- SG: Fm-3m (225)
- ΔE to the lowest computed polymorph: 61 meV/atom

---

Material: BPdSeN2
Method: DFT, PBE
State: relaxed

Structure (POSCAR):
```
BPdSeN2
1.0
3.669 0.000 0.000
0.000 3.669 0.000
0.000 0.000 8.725
B Pd Se N
1 1 1 2
Cartesian
0.000 0.000 0.000 B
1.834 1.834 4.363 Pd
1.834 1.834 0.000 Se
0.000 1.834 4.363 N
1.834 0.000 4.363 N
```

## Properties
- D(E_F): 3.67 states/eV per cell
- SG: P4/mmm (123)
- ΔE to the lowest computed polymorph: 872 meV/atom
- Energy relative to the elements, uncorrected: 2050 meV/atom

---

Which of these has the highest ΔE to the lowest computed polymorph? BPdSeN2

---

Look up the ΔE to the lowest computed polymorph of the third one. 872 meV/atom

---

Which of these has the lowest D(E_F)? BPdSeN2

---

Repeat the first record exactly.
Material: Ho2ThSc
Method: DFT, PBE
State: relaxed

Structure (POSCAR):
```
Ho2ThSc
1.0
11.560 0.000 0.000
0.000 3.508 0.000
-2.185 0.000 11.733
Ho Th Sc
8 4 4
Cartesian
0.469 0.000 5.102 Ho
0.003 1.754 8.116 Ho
3.592 0.000 3.616 Ho
3.126 1.754 6.630 Ho
6.249 1.754 5.102 Ho
5.783 0.000 8.116 Ho
9.372 1.754 3.616 Ho
8.906 0.000 6.630 Ho
-0.638 0.000 11.056 Th
4.233 1.754 0.676 Th
5.142 1.754 11.056 Th
10.013 0.000 0.676 Th
1.024 1.754 2.152 Sc
2.571 0.000 9.581 Sc
6.804 0.000 2.152 Sc
8.351 1.754 9.581 Sc
```

## Properties
- Formation enthalpy at 0 K: 3.1 kJ per mole of atoms
- D(E_F): 23.13 states/eV per cell
- SG: C2/m (12)
- ΔE to the lowest computed polymorph: 4 meV/atom